! GdDyNO, optimized geometry, DFT PBE; values from VASP
! total DFT energy (no corrections) = -7.414 eV per atom
! SG = No. 129
&SYSTEM
  ibrav = 0, nat = 8, ntyp = 4
/
ATOMIC_SPECIES
Gd 157.25 Gd.upf
Dy 162.50 Dy.upf
N 14.01 N.upf
O 16.00 O.upf
CELL_PARAMETERS angstrom
4.414 0.000 0.000
0.000 4.414 0.000
0.000 0.000 7.933
ATOMIC_POSITIONS crystal
Gd 0.250 0.250 0.094
Gd 0.750 0.750 0.906
Dy 0.250 0.750 0.500
Dy 0.750 0.250 0.500
N 0.250 0.250 0.580
N 0.750 0.750 0.420
O 0.250 0.750 0.000
O 0.750 0.250 0.000